SmPbF | PBE | relaxed

```
SmPbF
1.0
-1.698 1.698 6.086
1.698 -1.698 6.086
1.698 1.698 -6.086
Sm Pb F
1 1 1
direct
0.000 0.000 0.000
0.284 0.284 0.000
0.549 0.549 0.000
```

Computed properties:
Uncorrected formation energy: -1706 meV/atom
Polymorph energy (0 for the lowest one): 15.12 kJ/mol of atoms
DOS(E_F): 0.671 states/eV/cell



La4Pr5Mg2 | PBE | relaxed

```
La4Pr5Mg2
1.0
11.676 -1.808 0.000
11.676 1.808 0.000
-0.433 0.000 9.033
La Pr Mg
4 5 2
direct
0.071 0.071 0.209
0.287 0.287 0.676
0.713 0.713 0.324
0.929 0.929 0.791
0.129 0.129 0.604
0.183 0.183 0.968
0.500 0.500 0.500
0.817 0.817 0.032
0.871 0.871 0.396
0.444 0.444 0.128
0.556 0.556 0.872
```

Computed properties:
Polymorph energy (0 for the lowest one): 0.00 kJ/mol of atoms
Energy relative to the elements: 45 meV per atom
DOS(E_F): 16.938 states/eV/cell



> The highest DOS(E_F) belongs to which entry?

La4Pr5Mg2



> Number 2 is which compound?

La4Pr5Mg2